Record 1
Density functional theory data (GGA-PBE) for a geometry-optimized NdO2 structure.

a = 3.8822 Å, b = 3.8822 Å, c = 3.8822 Å
α = 112.97°, β = 112.97°, γ = 102.68°
Closest atoms and distances in Å follow each position.
Positions (direct):
Nd 0.0000 0.0000 0.0000  8 O 2.46
O 0.2500 0.7500 0.5000  2 O 2.43, 4 Nd 2.46
O 0.7500 0.2500 0.5000  2 O 2.43, 4 Nd 2.46

Computed properties:
The total magnetization is 0.144 μB per formula unit. As for the total energy: -7.517 eV per atom. Its space group is I4/mmm. The energy relative to the elements, uncorrected is -2.6222 eV per atom.



Record 2
Density functional theory data (GGA-PBE) for a geometry-optimized NdO2 structure.

a = 3.9384 Å, b = 3.9384 Å, c = 6.5567 Å
α = 96.72°, β = 96.72°, γ = 61.85°
Closest atoms and distances in Å follow each position.
Positions (direct):
Nd 0.1977 0.1977 0.2304  7 O 2.36-2.59
Nd 0.8023 0.8023 0.7696  7 O 2.36-2.59
O 0.1523 0.1523 0.8586  4 Nd 2.36-2.42
O 0.4208 0.4208 0.5707  1 O 1.51
O 0.5792 0.5792 0.4293  1 O 1.51
O 0.8477 0.8477 0.1414  4 Nd 2.36-2.42

Computed properties:
The total magnetization is 0.000 μB per formula unit. As for the total energy: -7.733 eV per atom. Its space group is C2/m. The energy relative to the elements, uncorrected is -2.8381 eV per atom.



Record 3
Density functional theory data (GGA-PBE) for a geometry-optimized NdOsO6 structure.

a = 4.5788 Å, b = 4.5788 Å, c = 4.7348 Å
α = 96.86°, β = 96.86°, γ = 97.47°
Closest atoms and distances in Å follow each position.
Positions (direct):
Nd 0.0000 0.0000 0.0000  10 O 2.48-2.75
Os 0.5000 0.5000 0.5000  6 O 1.86-1.87
O 0.2071 0.5819 0.2230  1 Os 1.87
O 0.2182 0.2182 0.6047  1 Os 1.86
O 0.4181 0.7929 0.7770  1 Os 1.87
O 0.5819 0.2071 0.2230  1 Os 1.87
O 0.7818 0.7818 0.3953  1 Os 1.86
O 0.7929 0.4181 0.7770  1 Os 1.87

Computed properties:
The total magnetization is 0.001 μB per formula unit. As for the total energy: -7.137 eV per atom. Its space group is C2/m. The energy relative to the elements, uncorrected is -1.4191 eV per atom.



Record 4
Density functional theory data (GGA-PBE) for a geometry-optimized NdOsO4 structure.

a = 15.1815 Å, b = 7.5988 Å, c = 5.5010 Å
α = 90.00°, β = 90.00°, γ = 90.00°
Closest atoms and distances in Å follow each position.
Positions (direct):
Nd 0.0594 0.1230 0.0000  7 O 2.31-2.51
Nd 0.0965 0.6198 0.9366  7 O 2.40-2.62
Nd 0.4035 0.1198 0.4366  7 O 2.40-2.62
Nd 0.4406 0.6230 0.5000  7 O 2.31-2.51
Nd 0.5594 0.3770 0.0000  7 O 2.31-2.51
Nd 0.5965 0.8802 0.9366  7 O 2.40-2.62
Nd 0.9035 0.3802 0.4366  7 O 2.40-2.62
Nd 0.9406 0.8770 0.5000  7 O 2.31-2.51
Os 0.1667 0.3730 0.4335  6 O 1.91-2.03
Os 0.1693 0.8736 0.4280  6 O 1.93-2.03
Os 0.3307 0.3736 0.9280  6 O 1.93-2.03
Os 0.3333 0.8730 0.9335  6 O 1.91-2.03
Os 0.6667 0.1270 0.4335  6 O 1.91-2.03
Os 0.6693 0.6264 0.4280  6 O 1.93-2.03
Os 0.8307 0.1264 0.9280  6 O 1.93-2.03
Os 0.8333 0.6270 0.9335  6 O 1.91-2.03
O 0.0518 0.3998 0.2485  1 Os 2.03
O 0.0601 0.8435 0.2299  1 Os 2.00
O 0.0825 0.8966 0.7073  1 Os 2.03
O 0.1058 0.3400 0.7340  1 Os 1.91
O 0.1611 0.1229 0.3459  2 Os 1.95-1.96
O 0.1679 0.6232 0.5266  2 Os 1.97-1.98
O 0.2224 0.8195 0.1088  2 Os 1.98
O 0.2301 0.4184 0.1323  2 Os 1.93-1.95
O 0.2699 0.9184 0.6323  2 Os 1.93-1.95
O 0.2776 0.3195 0.6088  2 Os 1.98
O 0.3321 0.1232 0.0266  2 Os 1.97-1.98
O 0.3389 0.6229 0.8459  2 Os 1.95-1.96
O 0.3942 0.8400 0.2340  1 Os 1.91
O 0.4175 0.3966 0.2073  1 Os 2.03
O 0.4399 0.3435 0.7299  1 Os 2.00
O 0.4482 0.8998 0.7485  1 Os 2.03
O 0.5518 0.1002 0.2485  1 Os 2.03
O 0.5601 0.6565 0.2299  1 Os 2.00
O 0.5825 0.6034 0.7073  1 Os 2.03
O 0.6058 0.1600 0.7340  1 Os 1.91
O 0.6611 0.3771 0.3459  2 Os 1.95-1.96
O 0.6679 0.8768 0.5266  2 Os 1.97-1.98
O 0.7224 0.6805 0.1088  2 Os 1.98
O 0.7301 0.0816 0.1323  2 Os 1.93-1.95
O 0.7699 0.5816 0.6323  2 Os 1.93-1.95
O 0.7776 0.1805 0.6088  2 Os 1.98
O 0.8321 0.3768 0.0266  2 Os 1.97-1.98
O 0.8389 0.8771 0.8459  2 Os 1.95-1.96
O 0.8942 0.6600 0.2340  1 Os 1.91
O 0.9175 0.1034 0.2073  1 Os 2.03
O 0.9399 0.1565 0.7299  1 Os 2.00
O 0.9482 0.6002 0.7485  1 Os 2.03

Computed properties:
The total magnetization is 0.008 μB per formula unit. As for the total energy: -7.993 eV per atom. Its space group is Pna2_1. The relative energy among the computed polymorphs is 0 kJ/mol of formula units. The energy relative to the elements, uncorrected is -2.0212 eV per atom.



Record 5
Density functional theory data (GGA-PBE) for a geometry-optimized NdOsO4 structure.

a = 6.2762 Å, b = 6.2762 Å, c = 6.2762 Å
α = 108.03°, β = 108.03°, γ = 112.40°
Closest atoms and distances in Å follow each position.
Positions (direct):
Nd 0.3750 0.6250 0.7500  8 O 2.44-2.48
Nd 0.6250 0.3750 0.2500  8 O 2.44-2.48
Os 0.1250 0.8750 0.2500  4 O 1.87
Os 0.8750 0.1250 0.7500  4 O 1.87
O 0.1032 0.6799 0.4233  1 Os 1.87
O 0.2435 0.3201 0.9233  1 Os 1.87
O 0.3201 0.2435 0.4233  1 Os 1.87
O 0.3201 0.8968 0.0767  1 Os 1.87
O 0.6799 0.1032 0.9233  1 Os 1.87
O 0.6799 0.7565 0.5767  1 Os 1.87
O 0.7565 0.6799 0.0767  1 Os 1.87
O 0.8968 0.3201 0.5767  1 Os 1.87

Computed properties:
The total magnetization is 2.730 μB per formula unit. As for the total energy: -7.795 eV per atom. Its space group is I4_1/amd. The relative energy among the computed polymorphs is 115 kJ/mol of formula units. The energy relative to the elements, uncorrected is -1.8230 eV per atom.



Record 6
Density functional theory data (GGA-PBE) for a geometry-optimized NdOs2O8 structure.

a = 6.3611 Å, b = 6.3611 Å, c = 6.0231 Å
α = 90.00°, β = 90.00°, γ = 120.00°
Closest atoms and distances in Å follow each position.
Positions (direct):
Nd 0.0000 0.0000 0.0000  6 O 2.35
Os 0.3333 0.6667 0.3107  4 O 1.75-1.79
Os 0.6667 0.3333 0.6893  4 O 1.75-1.79
O 0.1809 0.3618 0.2066  1 Os 1.79
O 0.1809 0.8191 0.2066  1 Os 1.79
O 0.3333 0.6667 0.6004  1 Os 1.75
O 0.3618 0.1809 0.7934  1 Os 1.79
O 0.6382 0.8191 0.2066  1 Os 1.79
O 0.6667 0.3333 0.3996  1 Os 1.75
O 0.8191 0.1809 0.7934  1 Os 1.79
O 0.8191 0.6382 0.7934  1 Os 1.79

Computed properties:
The total magnetization is 2.874 μB per formula unit. As for the total energy: -7.505 eV per atom. Its space group is P-3m1. The energy relative to the elements, uncorrected is -1.4235 eV per atom.



Record 7
Density functional theory data (GGA-PBE) for a geometry-optimized Nd3OsO6 structure.

a = 7.4273 Å, b = 7.4273 Å, c = 5.8235 Å
α = 90.00°, β = 90.00°, γ = 103.17°
Closest atoms and distances in Å follow each position.
Positions (direct):
Nd 0.1001 0.8999 0.5000  7 O 2.36-2.59
Nd 0.2003 0.4052 0.4507  6 O 2.31-2.54
Nd 0.4052 0.2003 0.9507  6 O 2.31-2.54
Nd 0.5948 0.7997 0.4507  6 O 2.31-2.54
Nd 0.7997 0.5948 0.9507  6 O 2.31-2.54
Nd 0.8999 0.1001 0.0000  7 O 2.36-2.59
Os 0.2915 0.7085 0.9341  3 O 1.84-2.02
Os 0.7085 0.2915 0.4341  3 O 1.84-2.02
O 0.0855 0.6018 0.7128  1 Os 2.02
O 0.1427 0.1724 0.7210  4 Nd 2.31-2.40
O 0.1724 0.1427 0.2210  4 Nd 2.31-2.40
O 0.2835 0.7165 0.2489  1 Os 1.84
O 0.3982 0.9145 0.7128  1 Os 2.02
O 0.4401 0.5599 0.7138  1 Os 2.15
O 0.5599 0.4401 0.2138  1 Os 2.15
O 0.6018 0.0855 0.2128  1 Os 2.02
O 0.7165 0.2835 0.7489  1 Os 1.84
O 0.8276 0.8573 0.7210  4 Nd 2.31-2.40
O 0.8573 0.8276 0.2210  4 Nd 2.31-2.40
O 0.9145 0.3982 0.2128  1 Os 2.02

Computed properties:
The total magnetization is 0.938 μB per formula unit. As for the total energy: -8.008 eV per atom. Its space group is Cmc2_1. The energy relative to the elements, uncorrected is -2.4797 eV per atom.



Record 8
Density functional theory data (GGA-PBE) for a geometry-optimized NdOs4O12 structure.

a = 6.6504 Å, b = 6.6504 Å, c = 6.6504 Å
α = 109.47°, β = 109.47°, γ = 109.47°
Closest atoms and distances in Å follow each position.
Positions (direct):
Nd 0.0000 0.0000 0.0000  12 O 2.63
Os 0.0000 0.0000 0.5000  6 O 1.92
Os 0.0000 0.5000 0.0000  6 O 1.92
Os 0.5000 0.0000 0.0000  6 O 1.92
Os 0.5000 0.5000 0.5000  6 O 1.92
O 0.0138 0.2487 0.7651  2 Os 1.92
O 0.2349 0.4836 0.2487  2 Os 1.92
O 0.2349 0.9862 0.7513  2 Os 1.92
O 0.2487 0.2349 0.4836  2 Os 1.92
O 0.2487 0.7651 0.0138  2 Os 1.92
O 0.4836 0.2487 0.2349  2 Os 1.92
O 0.5164 0.7513 0.7651  2 Os 1.92
O 0.7513 0.2349 0.9862  2 Os 1.92
O 0.7513 0.7651 0.5164  2 Os 1.92
O 0.7651 0.0138 0.2487  2 Os 1.92
O 0.7651 0.5164 0.7513  2 Os 1.92
O 0.9862 0.7513 0.2349  2 Os 1.92

Computed properties:
The total magnetization is 0.000 μB per formula unit. As for the total energy: -7.668 eV per atom. Its space group is Im-3. The energy relative to the elements, uncorrected is -1.2448 eV per atom.



Record 9
Density functional theory data (GGA-PBE) for a geometry-optimized Nd4Os6O19 structure.

a = 7.8865 Å, b = 7.8865 Å, c = 7.8865 Å
α = 109.47°, β = 109.47°, γ = 109.47°
Closest atoms and distances in Å follow each position.
Positions (direct):
Nd 0.0000 0.0000 0.6927  7 O 2.42-2.52
Nd 0.0000 0.6927 0.0000  7 O 2.42-2.52
Nd 0.3073 0.3073 0.3073  7 O 2.42-2.52
Nd 0.6927 0.0000 0.0000  7 O 2.42-2.52
Os 0.1376 0.5000 0.6376  6 O 1.96-2.05
Os 0.3624 0.8624 0.5000  6 O 1.96-2.05
Os 0.5000 0.3624 0.8624  6 O 1.96-2.05
Os 0.5000 0.6376 0.1376  6 O 1.96-2.05
Os 0.6376 0.1376 0.5000  6 O 1.96-2.05
Os 0.8624 0.5000 0.3624  6 O 1.96-2.05
O 0.0000 0.0000 0.0000  4 Nd 2.42
O 0.0000 0.3216 0.3216  2 Os 2.05
O 0.0000 0.6784 0.6784  2 Os 2.05
O 0.0588 0.7204 0.3451  2 Os 1.96-1.99
O 0.2796 0.3383 0.6247  2 Os 1.96-1.99
O 0.2864 0.6617 0.9412  2 Os 1.96-1.99
O 0.3216 0.0000 0.3216  2 Os 2.05
O 0.3216 0.3216 0.0000  2 Os 2.05
O 0.3383 0.6247 0.2796  2 Os 1.96-1.99
O 0.3451 0.0588 0.7204  2 Os 1.96-1.99
O 0.3753 0.7136 0.6549  2 Os 1.96-1.99
O 0.6247 0.2796 0.3383  2 Os 1.96-1.99
O 0.6549 0.3753 0.7136  2 Os 1.96-1.99
O 0.6617 0.9412 0.2864  2 Os 1.96-1.99
O 0.6784 0.0000 0.6784  2 Os 2.05
O 0.6784 0.6784 0.0000  2 Os 2.05
O 0.7136 0.6549 0.3753  2 Os 1.96-1.99
O 0.7204 0.3451 0.0588  2 Os 1.96-1.99
O 0.9412 0.2864 0.6617  2 Os 1.96-1.99

Computed properties:
The total magnetization is 0.002 μB per formula unit. As for the total energy: -8.030 eV per atom. Its space group is I23. The energy relative to the elements, uncorrected is -1.8008 eV per atom.



Record 10
Density functional theory data (GGA-PBE) for a geometry-optimized NdOsO4 structure.

a = 7.8808 Å, b = 5.4849 Å, c = 7.7251 Å
α = 90.00°, β = 103.12°, γ = 90.00°
Closest atoms and distances in Å follow each position.
Positions (direct):
Nd 0.1349 0.2167 0.4019  6 O 2.32-2.50
Nd 0.1349 0.2833 0.9019  6 O 2.32-2.50
Nd 0.8651 0.7167 0.0981  6 O 2.32-2.50
Nd 0.8651 0.7833 0.5981  6 O 2.32-2.50
Os 0.3365 0.7410 0.2060  6 O 1.88-2.03
Os 0.3365 0.7590 0.7060  6 O 1.88-2.03
Os 0.6635 0.2410 0.2940  6 O 1.88-2.03
Os 0.6635 0.2590 0.7940  6 O 1.88-2.03
O 0.1289 0.5131 0.1801  1 Os 2.03
O 0.1289 0.9869 0.6801  1 Os 2.03
O 0.1592 0.5080 0.6293  1 Os 1.96
O 0.1592 0.9920 0.1293  1 Os 1.96
O 0.3158 0.6454 0.9502  2 Os 2.02-2.03
O 0.3158 0.8546 0.4502  2 Os 2.02-2.03
O 0.4841 0.0277 0.7806  2 Os 1.88-1.89
O 0.4841 0.4723 0.2806  2 Os 1.88-1.89
O 0.5159 0.5277 0.7194  2 Os 1.88-1.89
O 0.5159 0.9723 0.2194  2 Os 1.88-1.89
O 0.6842 0.1454 0.5498  2 Os 2.02-2.03
O 0.6842 0.3546 0.0498  2 Os 2.02-2.03
O 0.8408 0.0080 0.8707  1 Os 1.96
O 0.8408 0.4920 0.3707  1 Os 1.96
O 0.8711 0.0131 0.3199  1 Os 2.03
O 0.8711 0.4869 0.8199  1 Os 2.03

Computed properties:
The total magnetization is 0.240 μB per formula unit. As for the total energy: -7.971 eV per atom. Its space group is P2_1/c. The relative energy among the computed polymorphs is 13 kJ/mol of formula units. The energy relative to the elements, uncorrected is -1.9991 eV per atom.



Record 11
Density functional theory data (GGA-PBE) for a geometry-optimized Nd5Os2O12 structure.

a = 7.1176 Å, b = 7.1176 Å, c = 7.8096 Å
α = 106.12°, β = 106.12°, γ = 47.88°
Closest atoms and distances in Å follow each position.
Positions (direct):
Nd 0.0000 0.0000 0.0000  6 O 2.37-2.40
Nd 0.3046 0.3046 0.1448  7 O 2.36-2.52
Nd 0.3118 0.3118 0.6674  7 O 2.36-2.53
Nd 0.6882 0.6882 0.3326  7 O 2.36-2.53
Nd 0.6954 0.6954 0.8552  7 O 2.36-2.52
Os 0.2179 0.7821 0.5000  6 O 1.99-2.07
Os 0.7821 0.2179 0.5000  6 O 1.99-2.07
O 0.0005 0.0005 0.6968  2 Os 1.99
O 0.0871 0.5905 0.4196  1 Os 2.01
O 0.0971 0.5947 0.9245  4 Nd 2.36-2.42
O 0.4053 0.9029 0.0755  4 Nd 2.36-2.42
O 0.4095 0.9129 0.5804  1 Os 2.01
O 0.4988 0.4988 0.3362  2 Os 2.07
O 0.5012 0.5012 0.6638  2 Os 2.07
O 0.5905 0.0871 0.4196  1 Os 2.01
O 0.5947 0.0971 0.9245  4 Nd 2.36-2.42
O 0.9029 0.4053 0.0755  4 Nd 2.36-2.42
O 0.9129 0.4095 0.5804  1 Os 2.01
O 0.9995 0.9995 0.3032  2 Os 1.99

Computed properties:
The total magnetization is 0.705 μB per formula unit. As for the total energy: -8.163 eV per atom. Its space group is C2/m. The energy relative to the elements, uncorrected is -2.5949 eV per atom.



Record 12
Density functional theory data (GGA-PBE) for a geometry-optimized NdOsO5 structure.

a = 5.6769 Å, b = 5.6769 Å, c = 7.6316 Å
α = 109.54°, β = 109.54°, γ = 71.05°
Closest atoms and distances in Å follow each position.
Positions (direct):
Nd 0.0478 0.9522 0.7500  7 O 2.35-2.46
Nd 0.9522 0.0478 0.2500  7 O 2.35-2.46
Os 0.5000 0.5000 0.0000  6 O 1.80-1.98
Os 0.5000 0.5000 0.5000  6 O 1.80-1.98
O 0.1992 0.7768 0.0331  1 Os 1.93
O 0.2232 0.8008 0.4669  1 Os 1.93
O 0.2706 0.3023 0.3906  1 Os 1.80
O 0.3023 0.2706 0.8906  1 Os 1.80
O 0.4202 0.5798 0.7500  2 Os 1.98
O 0.5798 0.4202 0.2500  2 Os 1.98
O 0.6977 0.7294 0.1094  1 Os 1.80
O 0.7294 0.6977 0.6094  1 Os 1.80
O 0.7768 0.1992 0.5331  1 Os 1.93
O 0.8008 0.2232 0.9669  1 Os 1.93

Computed properties:
The total magnetization is 0.954 μB per formula unit. As for the total energy: -7.641 eV per atom. Its space group is C2/c. The energy relative to the elements, uncorrected is -1.8136 eV per atom.